This record from the Alexandria database describes a relaxed CsAuI2N crystal. The functional is PBE-GGA.

The formation energy from raw total energies comes out at 0.15 eV per atom. For the total magnetization, the calculation gives 0.00 μB per cell. The calculation puts the energy relative to the lowest polymorph listed for this composition at 0 meV/atom.

It has space group P4/mmm (No. 123), with a = 6.856 Å, b = 6.856 Å, c = 3.772 Å, α = 90.00°, β = 90.00° and γ = 90.00°. The asymmetric unit holds Cs at (0.000, 0.000, 0.000), Au at (0.500, 0.500, 0.500), I at (0.000, 0.500, 0.500) and N at (0.500, 0.500, 0.000).